TaAlS2: relaxed, PBEsol.

Lattice parameters (Å, degrees): 8.270 8.270 8.270 22.18 22.18 22.18
Element x y z (fractional)
Ta (0.000, 0.000, 0.000)
Al (0.500, 0.500, 0.500)
S (0.401, 0.401, 0.401)
S (0.599, 0.599, 0.599)

Uncorrected formation energy: -746 meV/atom
Mass density: 6.4 g cm⁻³
N(E_F): 1.06 states/eV/cell


Tb9Al5S21: relaxed, PBEsol.

Lattice parameters (Å, degrees): 11.273 11.273 11.273 94.19 94.19 94.19
Element x y z (fractional)
Tb (0.017, 0.807, 0.176)
Tb (0.023, 0.640, 0.798)
Tb (0.119, 0.502, 0.345)
Tb (0.140, 0.362, 0.986)
Tb (0.176, 0.017, 0.807)
Tb (0.325, 0.474, 0.695)
Tb (0.345, 0.119, 0.502)
Tb (0.362, 0.986, 0.140)
Tb (0.457, 0.833, 0.688)
Tb (0.474, 0.695, 0.325)
Tb (0.502, 0.345, 0.119)
Tb (0.640, 0.798, 0.023)
Tb (0.688, 0.457, 0.833)
Tb (0.695, 0.325, 0.474)
Tb (0.798, 0.023, 0.640)
Tb (0.807, 0.176, 0.017)
Tb (0.833, 0.688, 0.457)
Tb (0.986, 0.140, 0.362)
Al (0.024, 0.347, 0.689)
Al (0.184, 0.852, 0.524)
Al (0.215, 0.215, 0.215)
Al (0.347, 0.689, 0.024)
Al (0.397, 0.397, 0.397)
Al (0.524, 0.184, 0.852)
Al (0.689, 0.024, 0.347)
Al (0.713, 0.713, 0.713)
Al (0.852, 0.524, 0.184)
Al (0.895, 0.895, 0.895)
S (0.017, 0.264, 0.161)
S (0.033, 0.565, 0.121)
S (0.061, 0.730, 0.399)
S (0.086, 0.843, 0.952)
S (0.093, 0.511, 0.607)
S (0.121, 0.033, 0.565)
S (0.161, 0.017, 0.264)
S (0.191, 0.272, 0.758)
S (0.192, 0.289, 0.422)
S (0.219, 0.785, 0.704)
S (0.231, 0.563, 0.897)
S (0.264, 0.161, 0.017)
S (0.272, 0.758, 0.191)
S (0.289, 0.422, 0.192)
S (0.334, 0.576, 0.473)
S (0.368, 0.881, 0.463)
S (0.399, 0.061, 0.730)
S (0.411, 0.856, 0.941)
S (0.422, 0.192, 0.289)
S (0.463, 0.368, 0.881)
S (0.473, 0.334, 0.576)
S (0.511, 0.607, 0.093)
S (0.530, 0.630, 0.778)
S (0.563, 0.897, 0.231)
S (0.565, 0.121, 0.033)
S (0.576, 0.473, 0.334)
S (0.607, 0.093, 0.511)
S (0.630, 0.778, 0.530)
S (0.678, 0.909, 0.811)
S (0.704, 0.219, 0.785)
S (0.730, 0.399, 0.061)
S (0.758, 0.191, 0.272)
S (0.778, 0.530, 0.630)
S (0.785, 0.704, 0.219)
S (0.811, 0.678, 0.909)
S (0.843, 0.952, 0.086)
S (0.856, 0.941, 0.411)
S (0.881, 0.463, 0.368)
S (0.897, 0.231, 0.563)
S (0.909, 0.811, 0.678)
S (0.941, 0.411, 0.856)
S (0.952, 0.086, 0.843)

Uncorrected formation energy: -1778 meV/atom
Mass density: 5.2 g cm⁻³
N(E_F): 0.00 states/eV/cell